Entry 1:
RuSe: single point on PBEsol structure, SCAN.

Cell lengths 3.9269, 3.9269, 5.3314 Å; angles 90.00, 90.00, 90.00 degrees
Sites, in units of the cell vectors:
Ru 0.2500 0.7500 0.0000
Ru 0.7500 0.2500 0.0000
Se 0.2500 0.2500 0.2598
Se 0.7500 0.7500 0.7402

Computed properties:
The density of states at the Fermi level comes out at 0.78 states/eV/f.u. The value obtained for the uncorrected formation energy is -268 meV per atom. As for the density: 7.3 g/cm³.

***

Entry 2:
K2ZrPb: single point on PBEsol structure, SCAN.

Cell lengths 3.1743, 3.1743, 12.6323 Å; angles 90.00, 90.00, 90.00 degrees
Sites, in units of the cell vectors:
K 0.0000 0.0000 0.2333
K 0.0000 0.0000 0.7667
Zr 0.5000 0.5000 0.5000
Pb 0.5000 0.5000 0.0000

Computed properties:
The density of states at the Fermi level comes out at 3.19 states/eV/f.u. The energy of formation from the pure elements is 0.486 eV per atom. As for the density: 4.9 g/cm³.

***

Entry 3:
Ca2MnCu: single point on PBEsol structure, SCAN.

Cell lengths 5.6650, 5.6650, 5.6650 Å; angles 135.22, 135.22, 65.18 degrees
Sites, in units of the cell vectors:
Ca 0.0000 0.0000 0.0000
Ca 0.7500 0.2500 0.5000
Mn 0.2500 0.7500 0.5000
Cu 0.5000 0.5000 0.0000

Computed properties:
The density of states at the Fermi level comes out at 2.92 states/eV/f.u. The energy of formation from the pure elements is 0.246 eV per atom. As for the density: 3.7 g/cm³.

***

Entry 4:
YBe2Os: single point on PBEsol structure, SCAN.

Cell lengths 4.2136, 4.2136, 4.9008 Å; angles 107.17, 107.17, 47.12 degrees
Sites, in units of the cell vectors:
Y 0.0000 0.0000 0.0000
Be 0.2176 0.2176 0.5979
Be 0.7824 0.7824 0.4021
Os 0.5000 0.5000 0.5000

Computed properties:
The density of states at the Fermi level comes out at 1.97 states/eV/f.u. The energy of formation from the pure elements is -0.301 eV per atom. As for the density: 8.2 g/cm³.

***

Entry 5:
ReAgIr2: single point on PBEsol structure, SCAN.

Cell lengths 4.8288, 4.8288, 4.8288 Å; angles 133.45, 133.45, 67.94 degrees
Sites, in units of the cell vectors:
Re 0.0000 0.0000 0.0000
Ag 0.7500 0.2500 0.5000
Ir 0.2500 0.7500 0.5000
Ir 0.5000 0.5000 0.0000

Computed properties:
The density of states at the Fermi level comes out at 3.21 states/eV/f.u. The energy of formation from the pure elements is 0.427 eV per atom. As for the density: 19.3 g/cm³.

***

Entry 6:
AlZnSb2I: single point on PBEsol structure, SCAN.

Cell lengths 5.1328, 5.1328, 5.5903 Å; angles 90.00, 90.00, 90.00 degrees
Sites, in units of the cell vectors:
Al 0.0000 0.0000 0.0000
Zn 0.5000 0.5000 0.5000
Sb 0.0000 0.5000 0.5000
Sb 0.5000 0.0000 0.5000
I 0.5000 0.5000 0.0000

Computed properties:
The density of states at the Fermi level comes out at 3.97 states/eV/f.u. The value obtained for the uncorrected formation energy is 630 meV per atom. As for the density: 5.2 g/cm³.

***

| no. | total moment (μB per formula unit) |
| --- | --- |
| 1 | 0.0 |
| 2 | 0.0 |
| 3 | 4.2 |
| 4 | 0.0 |
| 5 | 0.0 |
| 6 | 0.0 |